Entry 1:
A plane-wave DFT calculation with PBE-GGA was carried out for a relaxed Ca2TaIn crystal.

```
Ca2TaIn
1.0
3.315 0.000 0.000
0.000 5.092 0.000
-1.645 0.000 6.379
Ca Ta In
2 1 1
Cartesian
0.000 0.000 0.000
0.000 2.546 4.233
1.656 0.000 2.867
1.661 2.546 1.400
```

* symmetry: Pm, No. 6
* formation energy: 1.424 eV per formula unit
* total DFT energy (no corrections): -4.2925 eV per atom
* crystal system: monoclinic


Entry 2:
A plane-wave DFT calculation with PBE-GGA was carried out for a relaxed CaTa2In crystal.

```
CaTa2In
1.0
3.062 0.000 0.000
0.000 5.376 0.000
-0.512 0.000 5.332
Ca Ta In
1 2 1
Cartesian
0.000 0.000 0.000
0.737 2.688 3.961
1.814 2.688 1.372
1.275 0.000 2.666
```

* symmetry: P2/m, No. 10
* formation energy: 1.791 eV per formula unit
* total DFT energy (no corrections): -6.6636 eV per atom
* crystal system: monoclinic


Entry 3:
A plane-wave DFT calculation with PBE-GGA was carried out for a relaxed CaTaIn crystal.

```
CaTaIn
1.0
3.213 0.000 0.000
-1.607 2.783 0.000
0.000 0.000 7.893
Ca Ta In
1 1 1
Cartesian
0.000 0.000 0.000
0.000 1.855 5.236
1.607 0.928 2.797
```

* symmetry: P3m1, No. 156
* formation energy: 1.105 eV per formula unit
* total DFT energy (no corrections): -5.1627 eV per atom
* crystal system: trigonal
* offset from the most stable computed form: 2.82 kcal/mol of atoms


Entry 4:
A plane-wave DFT calculation with PBE-GGA was carried out for a relaxed CaTa2In crystal.

```
CaTa2In
1.0
-4.105 4.105 2.823
4.105 -4.105 2.823
4.105 4.105 -2.823
Ca Ta In
2 4 2
Cartesian
0.000 0.000 0.000
0.000 4.105 1.412
2.053 -1.822 2.117
2.283 2.053 0.706
2.053 5.927 -0.706
1.822 2.053 3.529
4.105 0.000 1.412
0.000 0.000 2.823
```

* symmetry: I-42d, No. 122
* formation energy: 4.208 eV per formula unit
* total DFT energy (no corrections): -6.0592 eV per atom
* crystal system: tetragonal